Compound: La2InMo
Source: Alexandria via LeMat-Bulk
Functional: GGA-PBEsol
Structure: optimized geometry

Results
- Calculated formation energy: 0.163 eV/atom
- Total moment: 0.0 μB/f.u.

Cell lengths 3.2569, 3.5301, 8.9734 Å; angles 90.00, 95.45, 90.00 degrees
Space group P2/m (No. 10)
Inequivalent atoms, fractional coordinates:
La  0.0640  0.0000  0.2857 x2
In  0.5000  0.5000  0.0000 x1
Mo  0.5000  0.5000  0.5000 x1